one) # KMg2Au2 | Alexandria | GGA-PBE | relaxed
# D(E_F): 1.94 states/eV/f.u.
data_KMg2Au2
_space_group_name_H-M_alt 'P 4/m b m'
_space_group_IT_number 127
_space_group_name_Hall '-P 4 2ab'
_cell_length_a 8.456
_cell_length_b 8.456
_cell_length_c 3.077
_cell_angle_alpha 90.00
_cell_angle_beta 90.00
_cell_angle_gamma 90.00
loop_
_atom_site_label
_atom_site_fract_x
_atom_site_fract_y
_atom_site_fract_z
K1 0.000 0.000 0.000
Mg1 0.127 0.373 0.000
Au1 0.165 0.665 0.500



two) # KMg2Au2 | Alexandria | GGA-PBE | relaxed
# D(E_F): 1.88 states/eV/f.u.
data_KMg2Au2
_space_group_name_H-M_alt 'I 4/m m m'
_space_group_IT_number 139
_space_group_name_Hall '-I 4 2'
_cell_length_a 4.569
_cell_length_b 4.569
_cell_length_c 11.986
_cell_angle_alpha 90.00
_cell_angle_beta 90.00
_cell_angle_gamma 90.00
loop_
_atom_site_label
_atom_site_fract_x
_atom_site_fract_y
_atom_site_fract_z
K1 0.000 0.000 0.000
Mg1 0.000 0.500 0.250
Au1 0.000 0.000 0.381



Energetically preferred structure: two) | next structure: +16 meV per atom



one) # KMg2Au | Alexandria | GGA-PBE | relaxed
# D(E_F): 1.23 states/eV/f.u.
data_KMg2Au
_space_group_name_H-M_alt 'P 4 m m'
_space_group_IT_number 99
_cell_length_a 3.654
_cell_length_b 3.654
_cell_length_c 8.358
_cell_angle_alpha 90.00
_cell_angle_beta 90.00
_cell_angle_gamma 90.00
loop_
_space_group_symop_operation_xyz
'x,y,z'
'-y,x,z'
'-x,-y,z'
'y,-x,z'
'-x,y,z'
'y,x,z'
'x,-y,z'
'-y,-x,z'
loop_
_atom_site_label
_atom_site_fract_x
_atom_site_fract_y
_atom_site_fract_z
K1 0.000 0.000 0.000
Mg1 0.000 0.000 0.581
Mg2 0.500 0.500 0.355
Au1 0.500 0.500 0.697



two) # KMg2Au | Alexandria | GGA-PBE | relaxed
# D(E_F): 2.38 states/eV/f.u.
data_KMg2Au
_space_group_name_H-M_alt 'F m -3 m'
_space_group_IT_number 225
_space_group_name_Hall '-F 4 2 3'
_cell_length_a 7.261
_cell_length_b 7.261
_cell_length_c 7.261
_cell_angle_alpha 90.00
_cell_angle_beta 90.00
_cell_angle_gamma 90.00
loop_
_atom_site_label
_atom_site_fract_x
_atom_site_fract_y
_atom_site_fract_z
K1 0.000 0.000 0.000
Mg1 0.250 0.250 0.250
Au1 0.000 0.000 0.500



three) # KMg2Au | Alexandria | GGA-PBE | relaxed
# D(E_F): 1.56 states/eV/f.u.
data_KMg2Au
_space_group_name_H-M_alt 'P m m m'
_space_group_IT_number 47
_cell_length_a 4.478
_cell_length_b 4.737
_cell_length_c 4.969
_cell_angle_alpha 90.00
_cell_angle_beta 90.00
_cell_angle_gamma 90.00
loop_
_space_group_symop_operation_xyz
'x,y,z'
'-x,-y,-z'
'-x,-y,z'
'x,y,-z'
'x,-y,-z'
'-x,y,z'
'-x,y,-z'
'x,-y,z'
loop_
_atom_site_label
_atom_site_fract_x
_atom_site_fract_y
_atom_site_fract_z
K1 0.000 0.000 0.000
Mg1 0.000 0.500 0.500
Mg2 0.500 0.000 0.500
Au1 0.500 0.500 0.000



four) # KMg2Au | Alexandria | GGA-PBE | relaxed
# D(E_F): 1.50 states/eV/f.u.
data_KMg2Au
_space_group_name_H-M_alt 'R -3 m'
_space_group_IT_number 166
_space_group_name_Hall '-R 3 2"'
_cell_length_a 4.6593
_cell_length_b 4.6593
_cell_length_c 19.8047
_cell_angle_alpha 90.00
_cell_angle_beta 90.00
_cell_angle_gamma 120.00
loop_
_atom_site_label
_atom_site_fract_x
_atom_site_fract_y
_atom_site_fract_z
K1 0.0000 0.0000 0.0000
Mg1 0.0000 0.0000 0.2004
Au1 0.0000 0.0000 0.5000



Energetically preferred structure: four) | next structure: +45 meV per atom



one) # KMg2Au | Alexandria | GGA-PBE | relaxed
# D(E_F): 2.26 states/eV/f.u.
data_KMg2Au
_space_group_name_H-M_alt 'I 41/a m d'
_space_group_IT_number 141
_cell_length_a 5.952
_cell_length_b 5.952
_cell_length_c 17.327
_cell_angle_alpha 90.00
_cell_angle_beta 90.00
_cell_angle_gamma 90.00
loop_
_space_group_symop_operation_xyz
'x,y,z'
'-x,-y,-z'
'-y+1/4,x+3/4,z+1/4'
'y+1/4,-x+3/4,-z+1/4'
'-x+1/2,-y,z+1/2'
'x+1/2,y,-z+1/2'
'y+1/4,-x+1/4,z+3/4'
'-y+1/4,x+1/4,-z+3/4'
'x,-y,-z'
'-x,y,z'
'-y+1/4,-x+1/4,-z+3/4'
'y+1/4,x+1/4,z+3/4'
'-x+1/2,y,-z+1/2'
'x+1/2,-y,z+1/2'
'y+1/4,x+3/4,-z+1/4'
'-y+1/4,-x+3/4,z+1/4'
'x+1/2,y+1/2,z+1/2'
'-x+1/2,-y+1/2,-z+1/2'
'-y+3/4,x+1/4,z+3/4'
'y+3/4,-x+1/4,-z+3/4'
'-x,-y+1/2,z'
'x,y+1/2,-z'
'y+3/4,-x+3/4,z+1/4'
'-y+3/4,x+3/4,-z+1/4'
'x+1/2,-y+1/2,-z+1/2'
'-x+1/2,y+1/2,z+1/2'
'-y+3/4,-x+3/4,-z+1/4'
'y+3/4,x+3/4,z+1/4'
'-x,y+1/2,-z'
'x,-y+1/2,z'
'y+3/4,x+1/4,-z+3/4'
'-y+3/4,-x+1/4,z+3/4'
loop_
_atom_site_label
_atom_site_fract_x
_atom_site_fract_y
_atom_site_fract_z
K1 0.000 0.250 0.375
Mg1 0.000 0.000 0.000
Au1 0.000 0.250 0.875



two) # KMg2Au | Alexandria | GGA-PBE | relaxed
# D(E_F): 0.52 states/eV/f.u.
data_KMg2Au
_space_group_name_H-M_alt 'C 1 m 1'
_space_group_IT_number 8
_cell_length_a 8.243
_cell_length_b 4.760
_cell_length_c 7.013
_cell_angle_alpha 90.00
_cell_angle_beta 112.89
_cell_angle_gamma 90.00
loop_
_space_group_symop_operation_xyz
'x,y,z'
'x,-y,z'
'x+1/2,y+1/2,z'
'x+1/2,-y+1/2,z'
loop_
_atom_site_label
_atom_site_fract_x
_atom_site_fract_y
_atom_site_fract_z
K1 0.000 0.000 0.000
Mg1 0.030 0.500 0.590
Mg2 0.309 0.500 0.427
Au1 0.179 0.000 0.538



three) # KMg2Au | Alexandria | GGA-PBE | relaxed
# D(E_F): 1.63 states/eV/f.u.
data_KMg2Au
_space_group_name_H-M_alt 'I -4 m 2'
_space_group_IT_number 119
_space_group_name_Hall 'I -4 -2'
_cell_length_a 5.034
_cell_length_b 5.034
_cell_length_c 8.192
_cell_angle_alpha 90.00
_cell_angle_beta 90.00
_cell_angle_gamma 90.00
loop_
_atom_site_label
_atom_site_fract_x
_atom_site_fract_y
_atom_site_fract_z
K1 0.000 0.000 0.000
Mg1 0.000 0.000 0.500
Mg2 0.000 0.500 0.750
Au1 0.000 0.500 0.250



four) # KMg2Au | Alexandria | GGA-PBE | relaxed
# D(E_F): 1.89 states/eV/f.u.
data_KMg2Au
_space_group_name_H-M_alt 'I m m 2'
_space_group_IT_number 44
_cell_length_a 3.394
_cell_length_b 4.407
_cell_length_c 16.238
_cell_angle_alpha 90.00
_cell_angle_beta 90.00
_cell_angle_gamma 90.00
loop_
_space_group_symop_operation_xyz
'x,y,z'
'-x,-y,z'
'-x,y,z'
'x,-y,z'
'x+1/2,y+1/2,z+1/2'
'-x+1/2,-y+1/2,z+1/2'
'-x+1/2,y+1/2,z+1/2'
'x+1/2,-y+1/2,z+1/2'
loop_
_atom_site_label
_atom_site_fract_x
_atom_site_fract_y
_atom_site_fract_z
K1 0.000 0.000 0.000
Mg1 0.000 0.000 0.672
Mg2 0.000 0.500 0.813
Au1 0.000 0.500 0.307



Energetically preferred structure: two) | next structure: +88 meV per atom



one) # KMgAu | Alexandria | GGA-PBE | relaxed
# D(E_F): 0.95 states/eV/f.u.
data_KMgAu
_space_group_name_H-M_alt 'P 3 m 1'
_space_group_IT_number 156
_cell_length_a 4.6761
_cell_length_b 4.6761
_cell_length_c 5.0273
_cell_angle_alpha 90.00
_cell_angle_beta 90.00
_cell_angle_gamma 120.00
loop_
_space_group_symop_operation_xyz
'x,y,z'
'-y,x-y,z'
'-x+y,-x,z'
'-y,-x,z'
'-x+y,y,z'
'x,x-y,z'
loop_
_atom_site_label
_atom_site_fract_x
_atom_site_fract_y
_atom_site_fract_z
K1 0.0000 0.0000 0.0000
Mg1 0.3333 0.6667 0.4999
Au1 0.6667 0.3333 0.5012



two) # KMgAu | Alexandria | GGA-PBE | relaxed
# D(E_F): 1.40 states/eV/f.u.
data_KMgAu
_space_group_name_H-M_alt 'I 4 m m'
_space_group_IT_number 107
_space_group_name_Hall 'I 4 -2'
_cell_length_a 3.688
_cell_length_b 3.688
_cell_length_c 12.781
_cell_angle_alpha 90.00
_cell_angle_beta 90.00
_cell_angle_gamma 90.00
loop_
_atom_site_label
_atom_site_fract_x
_atom_site_fract_y
_atom_site_fract_z
K1 0.000 0.000 0.000
Mg1 0.000 0.000 0.732
Au1 0.000 0.000 0.302



Energetically preferred structure: two) | next structure: +10 meV per atom



one) # KMgAu | Alexandria | GGA-PBE | relaxed
# D(E_F): 1.64 states/eV/f.u.
data_KMgAu
_space_group_name_H-M_alt 'F -4 3 m'
_space_group_IT_number 216
_space_group_name_Hall 'F -4 2 3'
_cell_length_a 7.267
_cell_length_b 7.267
_cell_length_c 7.267
_cell_angle_alpha 90.00
_cell_angle_beta 90.00
_cell_angle_gamma 90.00
loop_
_atom_site_label
_atom_site_fract_x
_atom_site_fract_y
_atom_site_fract_z
K1 0.000 0.000 0.000
Mg1 0.000 0.000 0.500
Au1 0.250 0.250 0.750



two) # KMgAu | Alexandria | GGA-PBE | relaxed
# D(E_F): 1.24 states/eV/f.u.
data_KMgAu
_space_group_name_H-M_alt 'P 4/n m m'
_space_group_IT_number 129
_cell_length_a 4.595
_cell_length_b 4.595
_cell_length_c 8.340
_cell_angle_alpha 90.00
_cell_angle_beta 90.00
_cell_angle_gamma 90.00
loop_
_space_group_symop_operation_xyz
'x,y,z'
'-x,-y,-z'
'-y+1/2,x,z'
'y+1/2,-x,-z'
'-x+1/2,-y+1/2,z'
'x+1/2,y+1/2,-z'
'y,-x+1/2,z'
'-y,x+1/2,-z'
'x+1/2,-y,-z'
'-x+1/2,y,z'
'-y,-x,-z'
'y,x,z'
'-x,y+1/2,-z'
'x,-y+1/2,z'
'y+1/2,x+1/2,-z'
'-y+1/2,-x+1/2,z'
loop_
_atom_site_label
_atom_site_fract_x
_atom_site_fract_y
_atom_site_fract_z
K1 0.250 0.250 0.141
Mg1 0.250 0.750 0.500
Au1 0.250 0.250 0.688



three) # KMgAu | Alexandria | GGA-PBE | relaxed
# D(E_F): 0.24 states/eV/f.u.
data_KMgAu
_space_group_name_H-M_alt 'F -4 3 m'
_space_group_IT_number 216
_space_group_name_Hall 'F -4 2 3'
_cell_length_a 7.654
_cell_length_b 7.654
_cell_length_c 7.654
_cell_angle_alpha 90.00
_cell_angle_beta 90.00
_cell_angle_gamma 90.00
loop_
_atom_site_label
_atom_site_fract_x
_atom_site_fract_y
_atom_site_fract_z
K1 0.000 0.000 0.000
Mg1 0.250 0.250 0.750
Au1 0.250 0.250 0.250



Energetically preferred structure: two) | next structure: +275 meV per atom



one) # KMnAu3 | Alexandria | GGA-PBE | relaxed
# D(E_F): 1.66 states/eV/f.u.
data_KMnAu3
_space_group_name_H-M_alt 'P m -3 m'
_space_group_IT_number 221
_space_group_name_Hall '-P 4 2 3'
_cell_length_a 5.119
_cell_length_b 5.119
_cell_length_c 5.119
_cell_angle_alpha 90.00
_cell_angle_beta 90.00
_cell_angle_gamma 90.00
loop_
_atom_site_label
_atom_site_fract_x
_atom_site_fract_y
_atom_site_fract_z
K1 0.000 0.000 0.000
Mn1 0.500 0.500 0.500
Au1 0.000 0.500 0.500



two) # KMnAu3 | Alexandria | GGA-PBE | relaxed
# D(E_F): 2.88 states/eV/f.u.
data_KMnAu3
_space_group_name_H-M_alt 'P m -3 m'
_space_group_IT_number 221
_space_group_name_Hall '-P 4 2 3'
_cell_length_a 5.506
_cell_length_b 5.506
_cell_length_c 5.506
_cell_angle_alpha 90.00
_cell_angle_beta 90.00
_cell_angle_gamma 90.00
loop_
_atom_site_label
_atom_site_fract_x
_atom_site_fract_y
_atom_site_fract_z
K1 0.000 0.000 0.000
Mn1 0.500 0.500 0.500
Au1 0.000 0.000 0.500



Energetically preferred structure: one) | next structure: +1232 meV per atom